## MgAg2Te (PBE)

Data for a relaxed MgAg2Te crystal.

a b c (Å): 3.1141 3.1141 9.0214
angles (deg): 90.00 90.00 89.88
Atoms (fractional coordinates):
Ag 0.0000 0.0000 0.0379
Ag 0.0000 0.0000 0.4621
Mg 0.5000 0.5000 0.2500
Te 0.5000 0.5000 0.7500

Summary:
space-group type	Cmmm, No. 65
offset from the most stable computed form	0.1705	eV per atom
E_form (uncorrected)	0.014	eV/atom